# SrTe2N (PBE-GGA, relaxed)
# Formation energy without anion corrections, eV/atom: 0.028
data_SrTe2N
_chemical_formula_sum 'Sr4 Te8 N4'
_cell_length_a 7.505
_cell_length_b 7.505
_cell_length_c 7.905
_cell_angle_alpha 90.00
_cell_angle_beta 90.00
_cell_angle_gamma 90.00
_symmetry_space_group_name_H-M 'I -4 2 d'
_symmetry_Int_Tables_number 122
_symmetry_space_group_name_Hall 'I -4 2bw'
loop_
_atom_site_label
_atom_site_type_symbol
_atom_site_fract_x
_atom_site_fract_y
_atom_site_fract_z
Sr1 Sr 0.000 0.000 0.000
Te1 Te 0.121 0.250 0.625
N1 N 0.000 0.000 0.500

---

# BSI2 (PBE-GGA, relaxed)
# Formation energy without anion corrections, eV/atom: 1.027
data_BSI2
_chemical_formula_sum 'B4 S4 I8'
_cell_length_a 7.045
_cell_length_b 7.045
_cell_length_c 8.297
_cell_angle_alpha 90.00
_cell_angle_beta 90.00
_cell_angle_gamma 90.00
_symmetry_space_group_name_H-M 'I -4 2 d'
_symmetry_Int_Tables_number 122
_symmetry_space_group_name_Hall 'I -4 2bw'
loop_
_atom_site_label
_atom_site_type_symbol
_atom_site_fract_x
_atom_site_fract_y
_atom_site_fract_z
B1 B 0.000 0.000 0.000
S1 S 0.000 0.000 0.500
I1 I 0.168 0.250 0.125

---

# SmLuNiOs (PBE-GGA, relaxed)
# ΔE_f, eV/atom: -0.26
data_SmLuNiOs
_chemical_formula_sum 'Sm4 Lu4 Ni4 Os4'
_cell_length_a 6.794
_cell_length_b 6.794
_cell_length_c 6.794
_cell_angle_alpha 90.00
_cell_angle_beta 90.00
_cell_angle_gamma 90.00
_symmetry_space_group_name_H-M 'F -4 3 m'
_symmetry_Int_Tables_number 216
_symmetry_space_group_name_Hall 'F -4 2 3'
loop_
_atom_site_label
_atom_site_type_symbol
_atom_site_fract_x
_atom_site_fract_y
_atom_site_fract_z
Sm1 Sm 0.000 0.000 0.000
Lu1 Lu 0.000 0.000 0.500
Ni1 Ni 0.250 0.250 0.250
Os1 Os 0.250 0.250 0.750

---

# Ac2HoI (PBE-GGA, relaxed)
# Formation energy without anion corrections, eV/atom: -0.115
data_Ac2HoI
_chemical_formula_sum 'Ac6 Ho3 I3'
_cell_length_a 3.8145
_cell_length_b 3.8145
_cell_length_c 37.9693
_cell_angle_alpha 90.00
_cell_angle_beta 90.00
_cell_angle_gamma 120.00
_symmetry_space_group_name_H-M 'R -3 m'
_symmetry_Int_Tables_number 166
_symmetry_space_group_name_Hall '-R 3 2"'
loop_
_atom_site_label
_atom_site_type_symbol
_atom_site_fract_x
_atom_site_fract_y
_atom_site_fract_z
Ac1 Ac 0.0000 0.0000 0.0939
Ho1 Ho 0.0000 0.0000 0.0000
I1 I 0.0000 0.0000 0.5000

---

# HoAl2Cu4Si (PBE-GGA, relaxed)
# Formation energy without anion corrections, eV/atom: -0.216
data_HoAl2Cu4Si
_chemical_formula_sum 'Ho3 Al6 Cu12 Si3'
_cell_length_a 4.1122
_cell_length_b 4.1122
_cell_length_c 25.3437
_cell_angle_alpha 90.00
_cell_angle_beta 90.00
_cell_angle_gamma 120.00
_symmetry_space_group_name_H-M 'R -3 m'
_symmetry_Int_Tables_number 166
_symmetry_space_group_name_Hall '-R 3 2"'
loop_
_atom_site_label
_atom_site_type_symbol
_atom_site_fract_x
_atom_site_fract_y
_atom_site_fract_z
Ho1 Ho 0.0000 0.0000 0.0000
Al1 Al 0.0000 0.0000 0.2480
Cu1 Cu 0.0000 0.0000 0.1302
Cu2 Cu 0.0000 0.0000 0.4058
Si1 Si 0.0000 0.0000 0.5000

---

# SrTe2Rh (PBE-GGA, relaxed)
# Formation energy without anion corrections, eV/atom: -0.784
data_SrTe2Rh
_chemical_formula_sum 'Sr4 Te8 Rh4'
_cell_length_a 8.112
_cell_length_b 8.112
_cell_length_c 6.935
_cell_angle_alpha 90.00
_cell_angle_beta 90.00
_cell_angle_gamma 90.00
_symmetry_space_group_name_H-M 'I -4 2 d'
_symmetry_Int_Tables_number 122
_symmetry_space_group_name_Hall 'I -4 2bw'
loop_
_atom_site_label
_atom_site_type_symbol
_atom_site_fract_x
_atom_site_fract_y
_atom_site_fract_z
Sr1 Sr 0.000 0.000 0.000
Te1 Te 0.169 0.250 0.625
Rh1 Rh 0.000 0.000 0.500

---

# Li2YOs (PBE-GGA, relaxed)
# ΔE_f, eV/atom: 0.21
data_Li2YOs
_chemical_formula_sum 'Li2 Y1 Os1'
_cell_length_a 2.936
_cell_length_b 4.899
_cell_length_c 5.086
_cell_angle_alpha 90.00
_cell_angle_beta 98.21
_cell_angle_gamma 90.00
_symmetry_space_group_name_H-M 'P 1 2/m 1'
_symmetry_Int_Tables_number 10
loop_
_symmetry_equiv_pos_as_xyz
'x,y,z'
'-x,-y,-z'
'-x,y,-z'
'x,-y,z'
loop_
_atom_site_label
_atom_site_type_symbol
_atom_site_fract_x
_atom_site_fract_y
_atom_site_fract_z
Li1 Li 0.213 0.000 0.301
Y1 Y 0.500 0.500 0.000
Os1 Os 0.000 0.500 0.500

---

# Tb3CeAs4 (PBE-GGA, relaxed)
# ΔE_f, eV/atom: -1.52
data_Tb3CeAs4
_chemical_formula_sum 'Tb6 Ce2 As8'
_cell_length_a 8.314
_cell_length_b 11.746
_cell_length_c 4.158
_cell_angle_alpha 90.00
_cell_angle_beta 90.00
_cell_angle_gamma 90.00
_symmetry_space_group_name_H-M 'C m m m'
_symmetry_Int_Tables_number 65
_symmetry_space_group_name_Hall '-C 2 2'
loop_
_atom_site_label
_atom_site_type_symbol
_atom_site_fract_x
_atom_site_fract_y
_atom_site_fract_z
Tb1 Tb 0.000 0.000 0.000
Tb2 Tb 0.250 0.250 0.500
Ce1 Ce 0.000 0.500 0.000
As1 As 0.000 0.250 0.000
As2 As 0.248 0.000 0.500

---

What did the seventh record say?
# Li2YOs (PBE-GGA, relaxed)
# ΔE_f, eV/atom: 0.21
data_Li2YOs
_chemical_formula_sum 'Li2 Y1 Os1'
_cell_length_a 2.936
_cell_length_b 4.899
_cell_length_c 5.086
_cell_angle_alpha 90.00
_cell_angle_beta 98.21
_cell_angle_gamma 90.00
_symmetry_space_group_name_H-M 'P 1 2/m 1'
_symmetry_Int_Tables_number 10
loop_
_symmetry_equiv_pos_as_xyz
'x,y,z'
'-x,-y,-z'
'-x,y,-z'
'x,-y,z'
loop_
_atom_site_label
_atom_site_type_symbol
_atom_site_fract_x
_atom_site_fract_y
_atom_site_fract_z
Li1 Li 0.213 0.000 0.301
Y1 Y 0.500 0.500 0.000
Os1 Os 0.000 0.500 0.500